# 1
A geometry-optimized AcZnIn2Ag2 structure. Source: Alexandria, functional PBE.

```
AcZnIn2Ag2
1.0
-1.8815 3.9398 -3.0834
0.5404 -3.1149 -4.3098
-4.8195 -2.4312 4.4673
In Zn Ag Ac
2 1 2 1
direct
0.7500 0.2500 0.5000
0.2500 0.7500 0.5000
0.0000 0.0000 0.0000
0.2073 0.2073 0.4147
0.7927 0.7927 0.5853
0.5000 0.5000 0.0000
```

Calculated values
crystal system: tetragonal
calculated formation energy: 43.6 meV/atom
SG: I4/mmm, No. 139

=====

# 2
A geometry-optimized PmDy6Al2 structure. Source: Alexandria, functional PBE.

```
PmDy6Al2
1.0
4.7741 0.0000 0.0000
0.0000 4.7741 0.0000
-2.3870 -2.3870 13.8340
Dy Pm Al
6 1 2
direct
0.3552 0.8517 0.2069
0.8517 0.3552 0.2069
0.7500 0.2500 0.5000
0.6448 0.6448 0.7931
0.2500 0.7500 0.5000
0.1483 0.1483 0.7931
0.5000 0.5000 0.0000
0.1857 0.1857 0.3714
0.8143 0.8143 0.6286
```

Calculated values
crystal system: tetragonal
polymorph energy (0 for the lowest one): 0.655 eV/atom
calculated formation energy: 494.6 meV/atom
SG: I-42m, No. 121

=====

# 3
A geometry-optimized TbY4CuS8 structure. Source: Alexandria, functional PBE.

```
TbY4CuS8
1.0
7.9324 0.0000 0.0000
3.9662 6.8697 0.0000
3.9662 2.2899 6.4863
S Y Tb Cu
8 4 1 1
direct
0.2489 0.2489 0.7478
0.7585 0.7585 0.2597
0.2489 0.7544 0.7478
0.7591 0.7591 0.7227
0.2233 0.7585 0.2597
0.2485 0.2485 0.2544
0.7544 0.2489 0.7478
0.7585 0.2233 0.2597
0.0048 0.0048 0.5046
0.4858 0.0048 0.5046
0.0048 0.4858 0.5046
0.6251 0.6251 0.1246
0.0049 0.0049 0.9853
0.3744 0.3744 0.8768
```

Calculated values
crystal system: trigonal
SG: R3m, No. 160
E_form (uncorrected): -25.403 eV per formula unit

=====

# 4
A geometry-optimized Sr4IrPt structure. Source: Alexandria, functional PBE.

```
Sr4IrPt
1.0
1.3252 -5.7868 -2.0256
-3.6046 -2.6959 -4.3687
2.2192 -0.8600 -5.8036
Ir Sr Pt
1 4 1
direct
0.7500 0.7500 0.7500
0.8741 0.3753 0.3753
0.3753 0.3753 0.3753
0.3753 0.3753 0.8741
0.3753 0.8741 0.3753
0.0000 0.0000 0.0000
```

Calculated values
crystal system: cubic
calculated formation energy: 872.9 meV/atom
SG: F-43m, No. 216

=====

# 5
A geometry-optimized Ho4CNO2 structure. Source: Alexandria, functional PBE.

```
Ho4CNO2
1.0
-3.4856 -3.3668 0.6619
1.1474 -2.0321 -4.2985
4.3803 -0.1882 4.0406
Ho N O C
4 1 2 1
direct
0.1883 0.1883 0.5022
0.4372 0.9372 0.0000
0.9372 0.4372 0.0000
0.6861 0.6861 0.4978
0.4372 0.4372 0.0000
0.6871 0.1871 0.5000
0.1871 0.6871 0.5000
0.9372 0.9372 0.0000
```

Calculated values
crystal system: tetragonal
SG: I4/mmm, No. 139
E_form (uncorrected): -16.549 eV per formula unit

=====

# 6
A geometry-optimized Na2SmGeS4 structure. Source: Alexandria, functional PBE.

```
Na2SmGeS4
1.0
3.9040 0.0000 0.0000
0.0000 6.8317 0.1272
0.0000 -2.3759 6.6446
Ge S Sm Na
1 4 1 2
direct
0.0000 0.0000 0.0000
0.5000 0.7762 0.7818
0.0000 0.2394 0.7745
0.0000 0.7606 0.2255
0.5000 0.2238 0.2182
0.5000 0.5000 0.0000
0.5000 0.0000 0.5000
0.0000 0.5000 0.5000
```

Calculated values
crystal system: monoclinic
SG: P2/m, No. 10
E_form (uncorrected): -9.180 eV per formula unit

=====

# 7
A geometry-optimized Sc2MoBr structure. Source: Alexandria, functional PBE.

```
Sc2MoBr
1.0
-7.1089 -6.6565 0.7487
-4.4866 -8.6117 1.0556
-5.6808 -7.0409 3.6823
Sc Mo Br
2 1 1
direct
0.2423 0.2423 0.2423
0.0057 0.0057 0.0057
0.7446 0.7446 0.7446
0.5073 0.5073 0.5073
```

Calculated values
crystal system: trigonal
polymorph energy (0 for the lowest one): 0.511 eV/atom
SG: R3m, No. 160
E_form (uncorrected): 0.571 eV per formula unit

=====

# 8
A geometry-optimized MgBe2Zn structure. Source: Alexandria, functional PBE.

```
MgBe2Zn
1.0
4.0727 0.0000 0.0000
0.0000 2.8882 -0.2558
0.0000 0.4223 4.6612
Be Zn Mg
2 1 1
direct
0.0000 0.7497 0.4985
0.0000 0.7503 0.0015
0.5000 0.7500 0.7500
0.5000 0.2500 0.2500
```

Calculated values
crystal system: monoclinic
polymorph energy (0 for the lowest one): 0.072 eV/atom
calculated formation energy: 291.4 meV/atom
SG: P2/m, No. 10

=====

For reference, electronic total energy by record: -2.717, -3.933, -6.643, -2.732, -7.791, -4.708, -6.149, -2.289 eV/atom.